[1]
# Mg2ScZn3

A relaxed Mg2ScZn3 crystal (GGA-PBE, the Alexandria database).

calculated density	4.47	g/cm3
relative energy among the computed polymorphs	0	meV per atom
total DFT energy (no corrections)	-0.090	Ha/atom
E_form	-225	meV/atom

abc: 4.6559 4.6559 11.4672
angles: 90.00 90.00 120.00
Last column: nearest neighbours and their distance in Å.
Fractional positions:
Mg 0.0000 0.0000 0.0000  8 Zn 2.85-2.88
Mg 0.0000 0.0000 0.5000  8 Zn 2.86-2.88
Mg 0.3333 0.6667 0.1672  8 Zn 2.83-2.94
Mg 0.6667 0.3333 0.8328  8 Zn 2.83-2.94
Sc 0.3333 0.6667 0.6609  8 Zn 2.82-2.88
Sc 0.6667 0.3333 0.3391  8 Zn 2.82-2.88
Zn 0.0000 0.0000 0.2490  5 Mg 2.85-2.88, 3 Sc 2.88
Zn 0.0000 0.0000 0.7510  5 Mg 2.85-2.88, 3 Sc 2.88
Zn 0.3333 0.6667 0.4147  4 Sc 2.82, 4 Mg 2.84-2.86
Zn 0.3333 0.6667 0.9110  7 Mg 2.83-2.94, 1 Sc 2.87
Zn 0.6667 0.3333 0.0890  7 Mg 2.83-2.94, 1 Sc 2.87
Zn 0.6667 0.3333 0.5853  4 Sc 2.82, 4 Mg 2.84-2.86


[2]
# AcTbSmS3

A relaxed AcTbSmS3 crystal (GGA-PBE, the Alexandria database).

calculated density	6.58	g/cm3
total DFT energy (no corrections)	-0.225	Ha/atom
E_form (uncorrected)	-1.82	eV/atom

abc: 7.8625 4.0613 10.2560
angles: 90.00 102.97 90.00
Last column: nearest neighbours and their distance in Å.
Fractional positions:
Ac 0.1833 0.2500 0.2059  7 S 3.01-3.17
Ac 0.8167 0.7500 0.7941  7 S 3.01-3.17
Tb 0.3380 0.7500 0.9061  5 S 2.73-2.80
Tb 0.6620 0.2500 0.0939  5 S 2.73-2.80
Sm 0.1823 0.2500 0.6222  5 S 2.81-2.98
Sm 0.8177 0.7500 0.3778  5 S 2.81-2.98
S 0.1010 0.2500 0.8887  2 Tb 2.73, 1 Sm 2.94, 2 Ac 3.01
S 0.1895 0.7500 0.4338  3 Sm 2.81-2.85, 2 Ac 3.09
S 0.4740 0.7500 0.1828  3 Tb 2.78-2.80, 1 Sm 2.98, 2 Ac 3.11
S 0.5260 0.2500 0.8172  3 Tb 2.78-2.80, 1 Sm 2.98, 2 Ac 3.11
S 0.8105 0.2500 0.5662  3 Sm 2.81-2.85, 2 Ac 3.09
S 0.8990 0.7500 0.1113  2 Tb 2.73, 1 Sm 2.94, 2 Ac 3.01


[3]
# Sr2MoPb

A relaxed Sr2MoPb crystal (GGA-PBE, the Alexandria database).

calculated density	6.94	g/cm3
total DFT energy (no corrections)	-0.145	Ha/atom
E_form	525	meV/atom

abc: 3.3073 3.3073 10.4589
angles: 90.00 90.00 90.11
Last column: nearest neighbours and their distance in Å.
Fractional positions:
Sr 0.0000 0.0000 0.2324  4 Sr 3.31, 4 Mo 3.37, 4 Pb 3.65
Sr 0.0000 0.0000 0.7676  4 Sr 3.31, 4 Mo 3.37, 4 Pb 3.65
Mo 0.5000 0.5000 0.0000  4 Mo 3.31, 8 Sr 3.37
Pb 0.5000 0.5000 0.5000  4 Pb 3.31, 8 Sr 3.65


[4]
# CeSm6Dy2Er3

A relaxed CeSm6Dy2Er3 crystal (GGA-PBE, the Alexandria database).

calculated density	8.00	g/cm3
total DFT energy (no corrections)	-0.174	Ha/atom
E_form	38	meV/atom

abc: 6.2042 6.2042 11.8245
angles: 95.03 95.03 120.01
Last column: nearest neighbours and their distance in Å.
Fractional positions:
Ce 0.0000 0.0000 0.0000  6 Sm 3.57-3.58, 6 Dy 3.58
Sm 0.0832 0.4147 0.2510  3 Er 3.56-3.57, 6 Sm 3.56-3.59, 1 Ce 3.57, 2 Dy 3.58-3.59
Sm 0.2483 0.2483 0.7489  3 Er 3.56, 6 Sm 3.56-3.59, 1 Ce 3.58, 2 Dy 3.58
Sm 0.4147 0.0832 0.2510  3 Er 3.56-3.57, 6 Sm 3.56-3.59, 1 Ce 3.57, 2 Dy 3.58-3.59
Sm 0.5853 0.9168 0.7490  3 Er 3.56-3.57, 6 Sm 3.56-3.59, 1 Ce 3.57, 2 Dy 3.58-3.59
Sm 0.7517 0.7517 0.2511  3 Er 3.56, 6 Sm 3.56-3.59, 1 Ce 3.58, 2 Dy 3.58
Sm 0.9168 0.5853 0.7490  3 Er 3.56-3.57, 6 Sm 3.56-3.59, 1 Ce 3.57, 2 Dy 3.58-3.59
Dy 0.3335 0.6665 0.0000  3 Dy 3.58, 3 Ce 3.58, 6 Sm 3.58-3.59
Dy 0.6665 0.3335 0.0000  3 Dy 3.58, 3 Ce 3.58, 6 Sm 3.58-3.59
Er 0.1672 0.8328 0.5000  6 Sm 3.56-3.57, 6 Er 3.58-3.59
Er 0.5000 0.5000 0.5000  6 Sm 3.56, 6 Er 3.58
Er 0.8328 0.1672 0.5000  6 Sm 3.56-3.57, 6 Er 3.58-3.59


[5]
# MnAgRu

A relaxed MnAgRu crystal (GGA-PBE, the Alexandria database).

calculated density	10.18	g/cm3
relative energy among the computed polymorphs	32	meV per atom
total DFT energy (no corrections)	-0.248	Ha/atom
E_form	337	meV/atom

abc: 2.7053 2.7053 6.7899
angles: 90.00 90.00 120.00
Last column: nearest neighbours and their distance in Å.
Fractional positions:
Mn 0.0000 0.0000 0.0000  3 Ru 2.44, 6 Mn 2.71
Ag 0.3333 0.6667 0.6497  6 Ag 2.71, 3 Mn 2.85, 3 Ru 2.98
Ru 0.6667 0.3333 0.2758  3 Mn 2.44, 6 Ru 2.71


[6]
# DyPaCdPb

A relaxed DyPaCdPb crystal (GGA-PBE, the Alexandria database).

calculated density	10.87	g/cm3
total DFT energy (no corrections)	-0.171	Ha/atom
E_form	19	meV/atom

abc: 5.3603 5.3603 5.3603
angles: 60.00 60.00 60.00
Last column: nearest neighbours and their distance in Å.
Fractional positions:
Dy 0.0000 0.0000 0.0000  4 Cd 3.28, 4 Pb 3.28
Pa 0.5000 0.5000 0.5000  4 Pb 3.28, 4 Cd 3.28
Cd 0.2500 0.2500 0.2500  4 Pa 3.28, 4 Dy 3.28
Pb 0.7500 0.7500 0.7500  4 Dy 3.28, 4 Pa 3.28


[7]
# SrPrMg2

A relaxed SrPrMg2 crystal (GGA-PBE, the Alexandria database).

calculated density	3.48	g/cm3
total DFT energy (no corrections)	-0.091	Ha/atom
E_form	-71	meV/atom

abc: 4.0630 4.0630 8.0150
angles: 90.00 90.00 90.00
Last column: nearest neighbours and their distance in Å.
Fractional positions:
Sr 0.0000 0.0000 0.0000  8 Mg 3.63, 2 Pr 4.01, 4 Sr 4.06
Pr 0.0000 0.0000 0.5000  8 Mg 3.39
Mg 0.5000 0.5000 0.2765  4 Pr 3.39, 1 Mg 3.58, 4 Sr 3.63
Mg 0.5000 0.5000 0.7235  4 Pr 3.39, 1 Mg 3.58, 4 Sr 3.63


[8]
# KCu2Ni

A relaxed KCu2Ni crystal (GGA-PBE, the Alexandria database).

calculated density	3.94	g/cm3
relative energy among the computed polymorphs	146	meV per atom
total DFT energy (no corrections)	-0.119	Ha/atom
E_form	542	meV/atom

abc: 8.7263 8.7263 8.7263
angles: 147.64 147.64 46.42
Last column: nearest neighbours and their distance in Å.
Fractional positions:
K 0.3750 0.6250 0.7500  8 Cu 3.38, 4 Ni 3.44
K 0.6250 0.3750 0.2500  8 Cu 3.38, 4 Ni 3.44
Cu 0.0000 0.0000 0.0000  2 Ni 2.34, 2 Cu 2.43
Cu 0.0000 0.0000 0.5000  2 Ni 2.34, 2 Cu 2.43
Cu 0.0000 0.5000 0.0000  2 Ni 2.34, 2 Cu 2.43
Cu 0.5000 0.0000 0.5000  2 Ni 2.34, 2 Cu 2.43
Ni 0.1250 0.8750 0.2500  4 Cu 2.34
Ni 0.8750 0.1250 0.7500  4 Cu 2.34


[9]
# Cs3As2S4

A relaxed Cs3As2S4 crystal (GGA-PBE, the Alexandria database).

calculated density	3.11	g/cm3
total DFT energy (no corrections)	-0.144	Ha/atom
E_form (uncorrected)	-0.76	eV/atom

abc: 9.3968 9.3968 8.9683
angles: 93.13 93.13 66.12
Last column: nearest neighbours and their distance in Å.
Fractional positions:
Cs 0.0186 0.9814 0.7500  6 S 3.68-3.83, 4 As 4.05-4.11
Cs 0.2637 0.4693 0.1018  6 S 3.51-3.71, 1 As 3.92
Cs 0.4693 0.2637 0.6018  6 S 3.51-3.71, 1 As 3.92
Cs 0.5307 0.7363 0.3982  6 S 3.51-3.71, 1 As 3.92
Cs 0.7363 0.5307 0.8982  6 S 3.51-3.71, 1 As 3.92
Cs 0.9814 0.0186 0.2500  6 S 3.68-3.83, 4 As 4.05-4.11
As 0.0271 0.3510 0.5309  2 S 2.20-2.21
As 0.3510 0.0271 0.0309  2 S 2.20-2.21
As 0.6490 0.9729 0.9691  2 S 2.20-2.21
As 0.9729 0.6490 0.4691  2 S 2.20-2.21
S 0.1126 0.3263 0.7654  1 As 2.20
S 0.2049 0.6572 0.4796  1 As 2.21
S 0.3263 0.1126 0.2654  1 As 2.20
S 0.3428 0.7951 0.0204  1 As 2.21
S 0.6572 0.2049 0.9796  1 As 2.21
S 0.6737 0.8874 0.7346  1 As 2.20
S 0.7951 0.3428 0.5204  1 As 2.21
S 0.8874 0.6737 0.2346  1 As 2.20


[10]
# SnN2F4

A relaxed SnN2F4 crystal (GGA-PBE, the Alexandria database).

calculated density	2.89	g/cm3
total DFT energy (no corrections)	-0.208	Ha/atom
E_form (uncorrected)	-1.65	eV/atom

abc: 3.3530 4.7449 8.0424
angles: 87.69 87.99 89.23
Last column: nearest neighbours and their distance in Å.
Fractional positions:
Sn 0.0000 0.0000 0.0000  6 F 1.91-2.11
N 0.4680 0.6149 0.5047  1 N 1.11
N 0.5320 0.3851 0.4953  1 N 1.11
F 0.0071 0.3211 0.8485  1 Sn 1.91
F 0.4868 0.1583 0.1255  2 Sn 2.11
F 0.5132 0.8417 0.8745  2 Sn 2.11
F 0.9929 0.6789 0.1515  1 Sn 1.91


[11]
# Ba3PuRh2O9

A relaxed Ba3PuRh2O9 crystal (GGA-PBE, the Alexandria database).

calculated density	7.71	g/cm3
total DFT energy (no corrections)	-0.271	Ha/atom
E_form (uncorrected)	-2.08	eV/atom

abc: 5.8660 5.8660 7.2718
angles: 90.00 90.00 120.00
Last column: nearest neighbours and their distance in Å.
Fractional positions:
Ba 0.0000 0.0000 0.0000  12 O 2.93-2.96
Ba 0.3333 0.6667 0.6970  9 O 2.78-2.94
Ba 0.6667 0.3333 0.3030  9 O 2.78-2.94
Pu 0.0000 0.0000 0.5000  6 O 2.12
Rh 0.3333 0.6667 0.1680  6 O 2.04-2.09
Rh 0.6667 0.3333 0.8320  6 O 2.04-2.09
O 0.0000 0.5000 0.0000  2 Rh 2.09
O 0.1696 0.3392 0.3305  1 Rh 2.04, 1 Pu 2.12
O 0.1696 0.8304 0.3305  1 Rh 2.04, 1 Pu 2.12
O 0.3392 0.1696 0.6695  1 Rh 2.04, 1 Pu 2.12
O 0.5000 0.0000 0.0000  2 Rh 2.09
O 0.5000 0.5000 0.0000  2 Rh 2.09
O 0.6608 0.8304 0.3305  1 Rh 2.04, 1 Pu 2.12
O 0.8304 0.1696 0.6695  1 Rh 2.04, 1 Pu 2.12
O 0.8304 0.6608 0.6695  1 Rh 2.04, 1 Pu 2.12


[12]
# ScTlAgBr5

A relaxed ScTlAgBr5 crystal (GGA-PBE, the Alexandria database).

calculated density	4.59	g/cm3
total DFT energy (no corrections)	-0.133	Ha/atom
E_form (uncorrected)	-1.13	eV/atom

abc: 7.7851 7.7851 10.3008
angles: 101.73 101.73 110.26
Last column: nearest neighbours and their distance in Å.
Fractional positions:
Sc 0.0000 0.0000 0.0000  6 Br 2.66-2.71
Sc 0.0000 0.0000 0.5000  6 Br 2.66-2.71
Tl 0.3467 0.6533 0.7500  5 Br 3.37-3.58
Tl 0.6533 0.3467 0.2500  5 Br 3.37-3.58
Ag 0.3118 0.6882 0.2500  4 Br 2.67-2.72
Ag 0.6882 0.3118 0.7500  4 Br 2.67-2.72
Br 0.0667 0.9333 0.7500  2 Sc 2.71
Br 0.0890 0.7052 0.4144  1 Sc 2.66, 1 Ag 2.67
Br 0.2503 0.3601 0.0570  1 Sc 2.66, 1 Ag 2.72
Br 0.2948 0.9110 0.0856  1 Sc 2.66, 1 Ag 2.67
Br 0.3601 0.2503 0.5570  1 Sc 2.66, 1 Ag 2.72
Br 0.6399 0.7497 0.4430  1 Sc 2.66, 1 Ag 2.72
Br 0.7052 0.0890 0.9144  1 Sc 2.66, 1 Ag 2.67
Br 0.7497 0.6399 0.9430  1 Sc 2.66, 1 Ag 2.72
Br 0.9110 0.2948 0.5856  1 Sc 2.66, 1 Ag 2.67
Br 0.9333 0.0667 0.2500  2 Sc 2.71


[13]
# Zr2Pt

A relaxed Zr2Pt crystal (GGA-PBE, the Alexandria database).

calculated density	10.98	g/cm3
total DFT energy (no corrections)	-0.292	Ha/atom
E_form	-245	meV/atom

abc: 4.8252 4.8252 2.8312
angles: 90.00 90.00 120.00
Last column: nearest neighbours and their distance in Å.
Fractional positions:
Zr 0.3333 0.6667 0.0000  5 Zr 2.79-2.83
Zr 0.6667 0.3333 0.0000  5 Zr 2.79-2.83
Pt 0.0000 0.0000 0.5000  2 Pt 2.83, 12 Zr 3.12


[14]
# ZrAsRu2

A relaxed ZrAsRu2 crystal (GGA-PBE, the Alexandria database).

calculated density	9.35	g/cm3
total DFT energy (no corrections)	-0.303	Ha/atom
E_form	-308	meV/atom

abc: 3.1877 4.6061 4.4566
angles: 90.00 90.26 90.00
Last column: nearest neighbours and their distance in Å.
Fractional positions:
Zr 0.0000 0.0000 0.0000  6 Ru 2.72-2.75, 4 As 2.97
As 0.5002 0.5000 0.7790  4 Ru 2.53-2.62
Ru 0.4994 0.0000 0.4973  2 As 2.62, 4 Zr 2.72-2.75, 4 Ru 2.89
Ru 0.9967 0.5000 0.3376  2 As 2.53, 2 Zr 2.75


[15]
# TiBF2

A relaxed TiBF2 crystal (GGA-PBE, the Alexandria database).

calculated density	2.77	g/cm3
relative energy among the computed polymorphs	454	meV per atom
total DFT energy (no corrections)	-0.191	Ha/atom
E_form (uncorrected)	-0.62	eV/atom

abc: 8.4719 8.4719 8.4719
angles: 19.30 19.30 19.30
Last column: nearest neighbours and their distance in Å.
Fractional positions:
Ti 0.0000 0.0000 0.0000  2 F 1.82
B 0.5000 0.5000 0.5000  6 B 2.84, 6 F 2.85
F 0.0731 0.0731 0.0731  1 Ti 1.82
F 0.9269 0.9269 0.9269  1 Ti 1.82


[16]
# YTm2Pb3

A relaxed YTm2Pb3 crystal (GGA-PBE, the Alexandria database).

calculated density	9.61	g/cm3
relative energy among the computed polymorphs	130	meV per atom
total DFT energy (no corrections)	-0.173	Ha/atom
E_form	-285	meV/atom

abc: 7.6013 7.6013 6.4113
angles: 90.00 90.00 77.98
Last column: nearest neighbours and their distance in Å.
Fractional positions:
Y 0.0937 0.9063 0.7500  5 Pb 3.16-3.22
Y 0.9063 0.0937 0.2500  5 Pb 3.16-3.22
Tm 0.1275 0.5865 0.2500  5 Pb 3.14-3.37, 1 Tm 3.38
Tm 0.4135 0.8725 0.2500  5 Pb 3.14-3.37, 1 Tm 3.38
Tm 0.5865 0.1275 0.7500  5 Pb 3.14-3.37, 1 Tm 3.38
Tm 0.8725 0.4135 0.7500  5 Pb 3.14-3.37, 1 Tm 3.38
Pb 0.2235 0.2235 0.0000  4 Tm 3.14-3.19, 2 Pb 3.21, 2 Y 3.22
Pb 0.2235 0.2235 0.5000  4 Tm 3.14-3.19, 2 Pb 3.21, 2 Y 3.22
Pb 0.4245 0.5755 0.7500  1 Y 3.16, 2 Tm 3.37, 2 Pb 3.52
Pb 0.5755 0.4245 0.2500  1 Y 3.16, 2 Tm 3.37, 2 Pb 3.52
Pb 0.7765 0.7765 0.0000  4 Tm 3.14-3.19, 2 Pb 3.21, 2 Y 3.22
Pb 0.7765 0.7765 0.5000  4 Tm 3.14-3.19, 2 Pb 3.21, 2 Y 3.22


[17]
# NaScAs3

A relaxed NaScAs3 crystal (GGA-PBE, the Alexandria database).

calculated density	3.56	g/cm3
relative energy among the computed polymorphs	0	meV per atom
total DFT energy (no corrections)	-0.164	Ha/atom
E_form	-133	meV/atom

abc: 5.1472 5.1472 5.1472
angles: 90.00 90.00 90.00
Last column: nearest neighbours and their distance in Å.
Fractional positions:
Na 0.0000 0.0000 0.0000  12 As 3.64
Sc 0.5000 0.5000 0.5000  6 As 2.57
As 0.0000 0.5000 0.5000  2 Sc 2.57
As 0.5000 0.0000 0.5000  2 Sc 2.57
As 0.5000 0.5000 0.0000  2 Sc 2.57


[18]
# Pm3ErSn12

A relaxed Pm3ErSn12 crystal (GGA-PBE, the Alexandria database).

calculated density	7.89	g/cm3
total DFT energy (no corrections)	-0.171	Ha/atom
E_form	-468	meV/atom

abc: 4.7644 4.7644 18.7988
angles: 90.00 90.00 90.00
Last column: nearest neighbours and their distance in Å.
Fractional positions:
Pm 0.0000 0.0000 0.0000  12 Sn 3.36-3.37
Pm 0.0000 0.0000 0.2514  12 Sn 3.35-3.37
Pm 0.0000 0.0000 0.7486  12 Sn 3.35-3.37
Er 0.0000 0.0000 0.5000  12 Sn 3.30-3.37
Sn 0.0000 0.5000 0.1260  4 Pm 3.35-3.36, 8 Sn 3.36-3.37
Sn 0.0000 0.5000 0.3785  8 Sn 3.30-3.37, 2 Er 3.30, 2 Pm 3.37
Sn 0.0000 0.5000 0.6215  8 Sn 3.30-3.37, 2 Er 3.30, 2 Pm 3.37
Sn 0.0000 0.5000 0.8740  4 Pm 3.35-3.36, 8 Sn 3.36-3.37
Sn 0.5000 0.0000 0.1260  4 Pm 3.35-3.36, 8 Sn 3.36-3.37
Sn 0.5000 0.0000 0.3785  8 Sn 3.30-3.37, 2 Er 3.30, 2 Pm 3.37
Sn 0.5000 0.0000 0.6215  8 Sn 3.30-3.37, 2 Er 3.30, 2 Pm 3.37
Sn 0.5000 0.0000 0.8740  4 Pm 3.35-3.36, 8 Sn 3.36-3.37
Sn 0.5000 0.5000 0.0000  8 Sn 3.36, 4 Pm 3.37
Sn 0.5000 0.5000 0.2523  8 Sn 3.36, 4 Pm 3.37
Sn 0.5000 0.5000 0.5000  8 Sn 3.30, 4 Er 3.37
Sn 0.5000 0.5000 0.7477  8 Sn 3.36, 4 Pm 3.37


[19]
# Tm6CoTe

A relaxed Tm6CoTe crystal (GGA-PBE, the Alexandria database).

calculated density	8.32	g/cm3
total DFT energy (no corrections)	-0.179	Ha/atom
E_form (uncorrected)	-0.24	eV/atom

abc: 6.4096 6.4096 6.7728
angles: 99.26 99.26 115.49
Last column: nearest neighbours and their distance in Å.
Fractional positions:
Tm 0.0261 0.3870 0.2227  1 Co 2.61
Tm 0.2410 0.2410 0.7878  1 Co 2.49
Tm 0.3870 0.0261 0.2227  1 Co 2.61
Tm 0.6130 0.9739 0.7773  1 Co 2.61
Tm 0.7590 0.7590 0.2122  1 Co 2.49
Tm 0.9739 0.6130 0.7773  1 Co 2.61
Co 0.0000 0.0000 0.0000  6 Tm 2.49-2.61
Te 0.5000 0.5000 0.5000  6 Tm 3.00-3.02


[20]
# NiAs3H

A relaxed NiAs3H crystal (GGA-PBE, the Alexandria database).

calculated density	6.57	g/cm3
relative energy among the computed polymorphs	0	meV per atom
total DFT energy (no corrections)	-0.147	Ha/atom

abc: 4.1582 4.1582 4.1582
angles: 90.00 90.00 90.00
Last column: nearest neighbours and their distance in Å.
Fractional positions:
Ni 0.0000 0.0000 0.0000  12 As 2.94
As 0.0000 0.5000 0.5000  2 H 2.08
As 0.5000 0.0000 0.5000  2 H 2.08
As 0.5000 0.5000 0.0000  2 H 2.08
H 0.5000 0.5000 0.5000  6 As 2.08